# 1
A relaxed Co2Ag5Cl12 crystal. Source: the Alexandria database, functional GGA-PBE.

Computed properties:
**Space-group type**: C2/m
**Electronic total energy**: -3.07 eV per atom
**Raw formation energy**: -0.406 eV/atom

The structure in POSCAR format:
```
Co2Ag5Cl12
1.0
7.9496 0.0000 0.0000
-3.9748 5.8583 -3.0988
0.0000 0.3978 11.9955
Ag Cl Co
5 12 2
Direct
0.6985 0.3970 0.2844 Ag
0.4048 0.8096 0.3669 Ag
0.3015 0.6030 0.7156 Ag
0.5952 0.1904 0.6331 Ag
0.0000 0.0000 0.5000 Ag
0.3707 0.2984 0.5691 Cl
0.6293 0.7016 0.4309 Cl
0.9277 0.2984 0.5691 Cl
0.4549 0.3338 0.0915 Cl
0.0723 0.7016 0.4309 Cl
0.4917 0.9834 0.2221 Cl
0.1211 0.6662 0.9085 Cl
0.5451 0.6662 0.9085 Cl
0.8789 0.3338 0.0915 Cl
0.0114 0.0227 0.8633 Cl
0.9886 0.9773 0.1367 Cl
0.5083 0.0166 0.7779 Cl
0.1908 0.0000 0.0000 Co
0.8092 0.0000 0.0000 Co
```



# 2
A relaxed AcPm2Sm crystal. Source: the Alexandria database, functional GGA-PBE.

Computed properties:
**ΔE_f**: 0.461 eV/f.u.
**Space-group type**: P4/mmm
**Electronic total energy**: -4.47 eV per atom
**Energy above the most stable polymorph in this dataset**: 84 meV per atom

The structure in POSCAR format:
```
AcPm2Sm
1.0
-2.4932 -2.9776 1.9007
2.9188 -3.0469 -0.9444
3.6081 1.3392 6.8309
Pm Sm Ac
2 1 1
Direct
0.0000 0.0000 0.2271 Pm
0.0000 0.0000 0.7729 Pm
0.5000 0.5000 0.0000 Sm
0.5000 0.5000 0.5000 Ac
```



# 3
A relaxed MgTl4In15 crystal. Source: the Alexandria database, functional GGA-PBE.

Computed properties:
**ΔE_f**: 0.495 eV/f.u.
**Space-group type**: P4/mmm
**Electronic total energy**: -2.58 eV per atom

The structure in POSCAR format:
```
MgTl4In15
1.0
-4.3970 0.9660 -0.5440
0.4065 -0.6656 -4.4671
-6.0990 -25.9017 3.3042
In Tl Mg
15 4 1
Direct
0.5000 0.5000 0.0000 In
0.5000 0.5000 0.4003 In
0.5000 0.0000 0.5000 In
0.0000 0.5000 0.5000 In
0.5000 0.0000 0.7035 In
0.0000 0.5000 0.0924 In
0.0000 0.5000 0.2965 In
0.5000 0.0000 0.9076 In
0.0000 0.5000 0.9076 In
0.5000 0.5000 0.8037 In
0.5000 0.5000 0.1963 In
0.5000 0.0000 0.2965 In
0.5000 0.5000 0.5997 In
0.5000 0.0000 0.0924 In
0.0000 0.5000 0.7035 In
0.0000 0.0000 0.3962 Tl
0.0000 0.0000 0.8065 Tl
0.0000 0.0000 0.6038 Tl
0.0000 0.0000 0.1935 Tl
0.0000 0.0000 0.0000 Mg
```